# ZrSc2CoCu

A relaxed ZrSc2CoCu crystal (PBE, Alexandria via LeMat-Bulk).

Properties
As for the calculated formation energy: 30.722 kcal/mol of atoms.

Unit cell a=5.0891 b=5.0891 c=4.6681 alpha=90.00 beta=90.00 gamma=90.00
Closest atoms and distances in Å follow each position.
Element x y z (fractional)
Zr  0.0000  0.0000  0.0000  2 Cu 2.33, 4 Sc 2.54
Sc  0.0000  0.5000  0.0000  2 Zr 2.54
Sc  0.5000  0.0000  0.0000  2 Zr 2.54
Co  0.5000  0.5000  0.5000  8 Sc 3.45, 4 Cu 3.60
Cu  0.0000  0.0000  0.5000  2 Zr 2.33